Entry 1:
## Ni2HgSe (PBE)

Data for a geometry-optimized Ni2HgSe structure.

Computed properties:
* density of states at the Fermi level: 3.7 states/eV/f.u.
* raw formation energy: 0.101 eV per atom

abc: 3.307 3.406 11.827
angles: 90.00 90.00 90.00
Sites, in units of the cell vectors:
Ni (0.000, 0.000, 0.000)
Ni (0.000, 0.500, 0.321)
Ni (0.500, 0.000, 0.821)
Ni (0.500, 0.500, 0.500)
Hg (0.000, 0.000, 0.619)
Hg (0.500, 0.500, 0.119)
Se (0.000, 0.500, 0.860)
Se (0.500, 0.000, 0.360)

=====

Entry 2:
## Cs6Ag (PBE)

Data for a geometry-optimized Cs6Ag structure.

Computed properties:
* density of states at the Fermi level: 9.2 states/eV/f.u.
* energy above the most stable polymorph in this dataset: 3.40 eV per formula unit
* E_form: 503 meV per atom

abc: 13.534 13.534 13.534
angles: 90.00 90.00 90.00
Sites, in units of the cell vectors:
Cs (0.000, 0.250, 0.500)
Cs (0.000, 0.500, 0.250)
Cs (0.000, 0.500, 0.750)
Cs (0.000, 0.750, 0.500)
Cs (0.250, 0.000, 0.500)
Cs (0.250, 0.500, 0.000)
Cs (0.500, 0.000, 0.250)
Cs (0.500, 0.000, 0.750)
Cs (0.500, 0.250, 0.000)
Cs (0.500, 0.750, 0.000)
Cs (0.750, 0.000, 0.500)
Cs (0.750, 0.500, 0.000)
Ag (0.000, 0.000, 0.000)
Ag (0.500, 0.500, 0.500)

=====

Entry 3:
## Sc3CdGa (PBE)

Data for a geometry-optimized Sc3CdGa structure.

Computed properties:
* density of states at the Fermi level: 5.0 states/eV/f.u.
* energy above the most stable polymorph in this dataset: 0.00 eV per formula unit
* E_form: -341 meV per atom

abc: 9.459 9.459 4.846
angles: 90.00 90.00 150.31
Sites, in units of the cell vectors:
Sc (0.058, 0.942, 0.750)
Sc (0.250, 0.750, 0.750)
Sc (0.442, 0.558, 0.750)
Sc (0.558, 0.442, 0.250)
Sc (0.750, 0.250, 0.250)
Sc (0.942, 0.058, 0.250)
Cd (0.153, 0.847, 0.250)
Cd (0.847, 0.153, 0.750)
Ga (0.346, 0.654, 0.250)
Ga (0.654, 0.346, 0.750)

=====

Entry 4:
## MnCoSb (PBE)

Data for a geometry-optimized MnCoSb structure.

Computed properties:
* density of states at the Fermi level: 2.0 states/eV/f.u.
* raw formation energy: -0.057 eV per atom

abc: 4.049 4.049 6.026
angles: 90.00 90.00 90.00
Sites, in units of the cell vectors:
Mn (0.250, 0.250, 0.244)
Mn (0.750, 0.750, 0.756)
Co (0.250, 0.750, 0.500)
Co (0.750, 0.250, 0.500)
Sb (0.250, 0.250, 0.779)
Sb (0.750, 0.750, 0.221)

=====

Entry 5:
## Lu2ThHg (PBE)

Data for a geometry-optimized Lu2ThHg structure.

Computed properties:
* density of states at the Fermi level: 6.0 states/eV/f.u.
* energy above the most stable polymorph in this dataset: 0.66 eV per formula unit
* E_form: -81 meV per atom

abc: 4.815 4.815 4.753
angles: 90.00 90.00 90.00
Sites, in units of the cell vectors:
Lu (0.000, 0.500, 0.000)
Lu (0.500, 0.000, 0.000)
Th (0.000, 0.000, 0.500)
Hg (0.500, 0.500, 0.500)

=====

Entry 6:
## TaAlOs2 (PBE)

Data for a geometry-optimized TaAlOs2 structure.

Computed properties:
* density of states at the Fermi level: 2.1 states/eV/f.u.
* energy above the most stable polymorph in this dataset: 1.54 eV per formula unit
* E_form: -165 meV per atom

abc: 8.696 2.877 4.978
angles: 90.00 99.92 90.00
Sites, in units of the cell vectors:
Ta (0.000, 0.000, 0.000)
Ta (0.500, 0.500, 0.000)
Al (0.000, 0.500, 0.500)
Al (0.500, 0.000, 0.500)
Os (0.248, 0.000, 0.734)
Os (0.252, 0.500, 0.266)
Os (0.748, 0.500, 0.734)
Os (0.752, 0.000, 0.266)

=====

Entry 7:
## Pr8Cd2Pt (PBE)

Data for a geometry-optimized Pr8Cd2Pt structure.

Computed properties:
* density of states at the Fermi level: 12.0 states/eV/f.u.
* E_form: -275 meV per atom

abc: 9.780 9.780 7.063
angles: 102.08 102.08 31.87
Sites, in units of the cell vectors:
Pr (0.020, 0.020, 0.276)
Pr (0.203, 0.203, 0.802)
Pr (0.348, 0.348, 0.539)
Pr (0.410, 0.410, 0.060)
Pr (0.590, 0.590, 0.940)
Pr (0.652, 0.652, 0.461)
Pr (0.797, 0.797, 0.198)
Pr (0.980, 0.980, 0.724)
Cd (0.189, 0.189, 0.238)
Cd (0.811, 0.811, 0.762)
Pt (0.500, 0.500, 0.500)

=====

Entry 8:
## NbSbRu3 (PBE)

Data for a geometry-optimized NbSbRu3 structure.

Computed properties:
* density of states at the Fermi level: 9.0 states/eV/f.u.
* energy above the most stable polymorph in this dataset: 1.06 eV per formula unit
* raw formation energy: 1.573 eV per atom

abc: 4.696 4.696 4.696
angles: 90.00 90.00 90.00
Sites, in units of the cell vectors:
Nb (0.000, 0.000, 0.000)
Sb (0.500, 0.500, 0.500)
Ru (0.000, 0.500, 0.500)
Ru (0.500, 0.000, 0.500)
Ru (0.500, 0.500, 0.000)

=====

Entry 9:
## Be2PH (PBE)

Data for a geometry-optimized Be2PH structure.

Computed properties:
* energy above the most stable polymorph in this dataset: 0.09 eV per formula unit

abc: 6.240 3.738 7.458
angles: 90.00 106.45 90.00
Sites, in units of the cell vectors:
Be (0.200, 0.000, 0.098)
Be (0.215, 0.737, 0.384)
Be (0.285, 0.237, 0.616)
Be (0.300, 0.500, 0.902)
Be (0.700, 0.500, 0.098)
Be (0.715, 0.237, 0.384)
Be (0.785, 0.737, 0.616)
Be (0.800, 0.000, 0.902)
P (0.101, 0.967, 0.794)
P (0.399, 0.467, 0.206)
P (0.601, 0.467, 0.794)
P (0.899, 0.967, 0.206)
H (0.145, 0.470, 0.487)
H (0.355, 0.970, 0.513)
H (0.645, 0.970, 0.487)
H (0.855, 0.470, 0.513)

=====

Entry 10:
## Sm3Co8Sn4 (PBE)

Data for a geometry-optimized Sm3Co8Sn4 structure.

Computed properties:
* density of states at the Fermi level: 17.2 states/eV/f.u.
* E_form: -297 meV per atom

abc: 8.984 8.984 7.520
angles: 90.00 90.00 120.00
Sites, in units of the cell vectors:
Sm (0.058, 0.529, 0.000)
Sm (0.471, 0.529, 0.000)
Sm (0.471, 0.942, 0.000)
Sm (0.529, 0.058, 0.500)
Sm (0.529, 0.471, 0.500)
Sm (0.942, 0.471, 0.500)
Co (0.000, 0.000, 0.277)
Co (0.000, 0.000, 0.777)
Co (0.096, 0.192, 0.023)
Co (0.096, 0.904, 0.023)
Co (0.157, 0.314, 0.330)
Co (0.157, 0.843, 0.330)
Co (0.192, 0.096, 0.523)
Co (0.314, 0.157, 0.830)
Co (0.333, 0.667, 0.708)
Co (0.667, 0.333, 0.208)
Co (0.686, 0.843, 0.330)
Co (0.808, 0.904, 0.023)
Co (0.843, 0.157, 0.830)
Co (0.843, 0.686, 0.830)
Co (0.904, 0.096, 0.523)
Co (0.904, 0.808, 0.523)
Sn (0.171, 0.341, 0.703)
Sn (0.171, 0.829, 0.703)
Sn (0.333, 0.667, 0.336)
Sn (0.341, 0.171, 0.203)
Sn (0.659, 0.829, 0.703)
Sn (0.667, 0.333, 0.836)
Sn (0.829, 0.171, 0.203)
Sn (0.829, 0.659, 0.203)

=====

Entry 11:
## Tb5ZrIn4 (PBE)

Data for a geometry-optimized Tb5ZrIn4 structure.

Computed properties:
* density of states at the Fermi level: 9.4 states/eV/f.u.
* E_form: -359 meV per atom

abc: 3.525 3.525 21.689
angles: 90.00 90.00 90.00
Sites, in units of the cell vectors:
Tb (0.000, 0.000, 0.000)
Tb (0.000, 0.000, 0.198)
Tb (0.000, 0.000, 0.396)
Tb (0.000, 0.000, 0.604)
Tb (0.000, 0.000, 0.802)
Zr (0.500, 0.500, 0.500)
In (0.500, 0.500, 0.099)
In (0.500, 0.500, 0.296)
In (0.500, 0.500, 0.704)
In (0.500, 0.500, 0.901)

=====

Entry 12:
## NaSmZnGe (PBE)

Data for a geometry-optimized NaSmZnGe structure.

Computed properties:
* density of states at the Fermi level: 1.5 states/eV/f.u.
* E_form: -303 meV per atom

abc: 7.121 7.121 7.121
angles: 90.00 90.00 90.00
Sites, in units of the cell vectors:
Na (0.000, 0.000, 0.000)
Na (0.000, 0.500, 0.500)
Na (0.500, 0.000, 0.500)
Na (0.500, 0.500, 0.000)
Sm (0.000, 0.000, 0.500)
Sm (0.000, 0.500, 0.000)
Sm (0.500, 0.000, 0.000)
Sm (0.500, 0.500, 0.500)
Zn (0.250, 0.250, 0.750)
Zn (0.250, 0.750, 0.250)
Zn (0.750, 0.250, 0.250)
Zn (0.750, 0.750, 0.750)
Ge (0.250, 0.250, 0.250)
Ge (0.250, 0.750, 0.750)
Ge (0.750, 0.250, 0.750)
Ge (0.750, 0.750, 0.250)

=====

The calculation returns the following mass density values, one per record and in order: 9.90; 1.21; 4.90; 7.92; 11.79; 15.93; 7.38; 8.30; 1.99; 8.83; 8.29; 5.73 g/cm3.